Entry 1:
# NaErPb2 (PBE-GGA, relaxed)
# Total energy, eV per cell: -42.495
# DOS at the Fermi energy, states/eV/atom: 0.54
# Calculated volume, Å³/atom: 29.898
# Total magnetization, μB per formula unit: 0.0
data_NaErPb2
_cell_length_a 3.6635
_cell_length_b 3.6635
_cell_length_c 30.8674
_cell_angle_alpha 90.00
_cell_angle_beta 90.00
_cell_angle_gamma 120.00
_symmetry_space_group_name_H-M 'R -3 m'
_symmetry_Int_Tables_number 166
_symmetry_space_group_name_Hall '-R 3 2"'
loop_
_atom_site_label
_atom_site_type_symbol
_atom_site_fract_x
_atom_site_fract_y
_atom_site_fract_z
_atom_site_occupancy
Na1 Na 0.0000 0.0000 0.0000 1
Er1 Er 0.0000 0.0000 0.5000 1
Pb1 Pb 0.0000 0.0000 0.2491 1

Entry 2:
# LiCdAg2Pt (PBE-GGA, relaxed)
# Total energy, eV per cell: -13.096
# DOS at the Fermi energy, states/eV/atom: 0.31
# Calculated volume, Å³/atom: 24.191
# Relative energy among the computed polymorphs, eV/atom: 0.0212
# Total magnetization, μB per formula unit: 0.0
data_LiCdAg2Pt
_cell_length_a 5.1613
_cell_length_b 5.1613
_cell_length_c 4.5406
_cell_angle_alpha 90.00
_cell_angle_beta 90.00
_cell_angle_gamma 90.00
_symmetry_space_group_name_H-M 'P 4/m m m'
_symmetry_Int_Tables_number 123
_symmetry_space_group_name_Hall '-P 4 2'
loop_
_atom_site_label
_atom_site_type_symbol
_atom_site_fract_x
_atom_site_fract_y
_atom_site_fract_z
_atom_site_occupancy
Li1 Li 0.0000 0.0000 0.0000 1
Cd1 Cd 0.5000 0.5000 0.0000 1
Ag1 Ag 0.0000 0.5000 0.5000 1
Pt1 Pt 0.0000 0.0000 0.5000 1

Entry 3:
# Mg4ZnCu2 (PBE-GGA, relaxed)
# Total energy, eV per cell: -48.559
# DOS at the Fermi energy, states/eV/atom: 0.35
# Calculated volume, Å³/atom: 17.948
# Relative energy among the computed polymorphs, eV/atom: 0.0000
# Total magnetization, μB per formula unit: 0.0
data_Mg4ZnCu2
_cell_length_a 4.5015
_cell_length_b 4.5015
_cell_length_c 21.4788
_cell_angle_alpha 90.00
_cell_angle_beta 90.00
_cell_angle_gamma 120.00
_symmetry_space_group_name_H-M 'R -3 m'
_symmetry_Int_Tables_number 166
_symmetry_space_group_name_Hall '-R 3 2"'
loop_
_atom_site_label
_atom_site_type_symbol
_atom_site_fract_x
_atom_site_fract_y
_atom_site_fract_z
_atom_site_occupancy
Mg1 Mg 0.0000 0.0000 0.1148 1
Mg2 Mg 0.0000 0.0000 0.3692 1
Zn1 Zn 0.0000 0.0000 0.5000 1
Cu1 Cu 0.0000 0.0000 0.2433 1

| no. | formation energy (eV per atom) |
| --- | --- |
| 1 | -0.22 |
| 2 | 0.30 |
| 3 | -0.05 |